No. 1
## Be3VAg (GGA-PBE)

Data for crystalline Be3VAg at its relaxed geometry.

The value obtained for the calculated formation energy is 7.201 eV/f.u. The density of states at the Fermi level comes out at 4.9 states/eV/cell. As for the size of the total moment: 0.000 μB/cell.

a b c (Å): 4.2212 4.2212 4.2212
angles (deg): 90.00 90.00 90.00
Fractional positions:
Be 0.0000 0.5000 0.0000
Be 0.0000 0.0000 0.5000
Be 0.5000 0.0000 0.0000
Ag 0.5000 0.5000 0.5000
V 0.0000 0.0000 0.0000

No. 2
## SnHg2Bi2 (GGA-PBE)

Data for crystalline SnHg2Bi2 at its relaxed geometry.

The value obtained for the calculated formation energy is 0.663 eV/f.u. The density of states at the Fermi level comes out at 6.1 states/eV/cell. As for the size of the total moment: 0.000 μB/cell.

a b c (Å): 9.3285 9.3285 3.4144
angles (deg): 90.00 90.00 90.00
Fractional positions:
Hg 0.3893 0.1107 0.5000
Hg 0.8893 0.3893 0.5000
Hg 0.6107 0.8893 0.5000
Hg 0.1107 0.6107 0.5000
Bi 0.3059 0.8059 0.0000
Bi 0.1941 0.3059 0.0000
Bi 0.6941 0.1941 0.0000
Bi 0.8059 0.6941 0.0000
Sn 0.5000 0.5000 0.0000
Sn 0.0000 0.0000 0.0000

No. 3
## Nd2Dy2YEr (GGA-PBE)

Data for crystalline Nd2Dy2YEr at its relaxed geometry.

The value obtained for the calculated formation energy is 0.835 eV/f.u. The density of states at the Fermi level comes out at 19.3 states/eV/cell. As for the size of the total moment: 0.000 μB/cell.

a b c (Å): 6.8122 8.9154 6.5659
angles (deg): 95.15 90.00 90.00
Fractional positions:
Dy 0.0007 0.1695 0.1675
Dy 0.9993 0.8305 0.8325
Dy 0.5007 0.8305 0.8325
Dy 0.4993 0.1695 0.1675
Nd 0.7500 0.4808 0.4113
Nd 0.2500 0.1491 0.6758
Nd 0.2500 0.5192 0.5887
Nd 0.7500 0.8509 0.3242
Er 0.2500 0.4970 0.0755
Er 0.7500 0.5030 0.9245
Y 0.2500 0.8459 0.3201
Y 0.7500 0.1541 0.6799

No. 4
## NdDyY2Ho5 (GGA-PBE)

Data for crystalline NdDyY2Ho5 at its relaxed geometry.

The value obtained for the calculated formation energy is 1.412 eV/f.u. The density of states at the Fermi level comes out at 29.3 states/eV/cell. As for the size of the total moment: 0.001 μB/cell.

a b c (Å): 5.6150 10.2618 10.5785
angles (deg): 90.00 90.00 105.88
Fractional positions:
Ho 0.2824 0.5648 0.3110
Ho 0.2982 0.5965 0.7085
Ho 0.7018 0.4035 0.2085
Ho 0.5211 0.0422 0.2370
Ho 0.4789 0.9578 0.7370
Ho 0.6107 0.2214 0.5223
Ho 0.0190 0.0380 0.0255
Ho 0.9810 0.9620 0.5255
Ho 0.3893 0.7786 0.0223
Ho 0.7176 0.4352 0.8110
Y 0.1105 0.2210 0.7343
Y 0.8865 0.7730 0.8200
Y 0.8895 0.7790 0.2343
Y 0.1135 0.2270 0.3200
Nd 0.4166 0.8332 0.4539
Nd 0.5834 0.1668 0.9539
Dy 0.2012 0.4025 0.0114
Dy 0.7988 0.5975 0.5114

No. 5
## AgOs2Pt (GGA-PBE)

Data for crystalline AgOs2Pt at its relaxed geometry.

The value obtained for the calculated formation energy is 1.878 eV/f.u. The density of states at the Fermi level comes out at 4.5 states/eV/cell. As for the size of the total moment: 0.000 μB/cell.

a b c (Å): 4.8683 4.8683 4.8326
angles (deg): 80.96 80.96 32.76
Fractional positions:
Ag 0.7500 0.7500 0.7500
Os 0.9921 0.9921 0.0113
Os 0.5079 0.5079 0.4887
Pt 0.2500 0.2500 0.2500

No. 6
## Sc2CdSe (GGA-PBE)

Data for crystalline Sc2CdSe at its relaxed geometry.

The density of states at the Fermi level comes out at 3.6 states/eV/cell. For the energy relative to the elements, uncorrected, the calculation gives -489 meV/atom. As for the size of the total moment: 0.000 μB/cell.

a b c (Å): 4.9319 4.9319 4.9319
angles (deg): 60.00 60.00 60.00
Fractional positions:
Sc 0.2500 0.2500 0.2500
Sc 0.7500 0.7500 0.7500
Se 0.0000 0.0000 0.0000
Cd 0.5000 0.5000 0.5000

> What is the size of the total moment in the second record?

0.000 μB/cell